Below is a relaxed structure of Sb2TeWBr, with properties calculated at the PBEsol level.

Cell lengths 5.231, 5.231, 5.137 Å; angles 90.00, 90.00, 90.00 degrees
Space group P4/mmm (No. 123)
Asymmetric unit:
1 Sb 0.000 0.500 0.000 [2 per cell]
2 Te 0.000 0.000 0.500 [1 per cell]
3 W 0.000 0.000 0.000 [1 per cell]
4 Br 0.500 0.500 0.500 [1 per cell]

Results
Volume in Å³ per cell: 140.5
Formation energy without anion corrections in eV/atom: 0.384
Crystal system: tetragonal
Total magnetic moment in μB/f.u.: 0.0

=====

Below is a relaxed structure of NaCoAsSe2, with properties calculated at the PBEsol level.

Cell lengths 4.938, 4.938, 4.809 Å; angles 90.00, 90.00, 90.00 degrees
Space group P4/mmm (No. 123)
Asymmetric unit:
1 Na 0.000 0.000 0.000 [1 per cell]
2 Co 0.500 0.500 0.500 [1 per cell]
3 As 0.000 0.000 0.500 [1 per cell]
4 Se 0.000 0.500 0.000 [2 per cell]

Results
Volume in Å³ per cell: 117.3
Formation energy without anion corrections in eV/atom: 1.370
Crystal system: tetragonal
Total magnetic moment in μB/f.u.: 2.4

=====

Below is a relaxed structure of AgBPt3, with properties calculated at the PBEsol level.

Cell lengths 4.158, 4.158, 4.158 Å; angles 90.00, 90.00, 90.00 degrees
Space group Pm-3m (No. 221)
Asymmetric unit:
1 Ag 0.000 0.000 0.000 [1 per cell]
2 B 0.500 0.500 0.500 [1 per cell]
3 Pt 0.000 0.500 0.500 [3 per cell]

Results
Volume in Å³ per cell: 71.9
Crystal system: cubic
Offset from the most stable computed form in meV/atom: 141
Energy of formation in kJ/mol of atoms: -7.6
Total magnetic moment in μB/f.u.: 0.0

=====

Below is a relaxed structure of ZrTaSb2, with properties calculated at the PBEsol level.

Cell lengths 3.045, 3.045, 10.098 Å; angles 90.00, 90.00, 90.00 degrees
Space group P4mm (No. 99)
Asymmetric unit:
1 Zr 0.000 0.000 0.000 [1 per cell]
2 Ta 0.500 0.500 0.780 [1 per cell]
3 Sb 0.000 0.000 0.566 [1 per cell]
4 Sb 0.500 0.500 0.228 [1 per cell]

Results
Volume in Å³ per cell: 93.7
Formation energy without anion corrections in eV/atom: -0.057
Crystal system: tetragonal
Total magnetic moment in μB/f.u.: 0.0

=====

Below is a relaxed structure of AgIrAu2, with properties calculated at the PBEsol level.

Cell lengths 2.736, 3.996, 5.870 Å; angles 90.00, 90.00, 90.00 degrees
Space group Pmmm (No. 47)
Asymmetric unit:
1 Ag 0.000 0.000 0.000 [1 per cell]
2 Ir 0.000 0.000 0.500 [1 per cell]
3 Au 0.500 0.500 0.258 [2 per cell]

Results
Volume in Å³ per cell: 64.2
Crystal system: orthorhombic
Offset from the most stable computed form in meV/atom: 0
Energy of formation in kJ/mol of atoms: 26.5
Total magnetic moment in μB/f.u.: 0.0

=====

Below is a relaxed structure of Li2ZnSe, with properties calculated at the PBEsol level.

Cell lengths 4.116, 4.116, 3.636 Å; angles 90.00, 90.00, 90.00 degrees
Space group P4/mmm (No. 123)
Asymmetric unit:
1 Li 0.000 0.500 0.000 [2 per cell]
2 Zn 0.000 0.000 0.500 [1 per cell]
3 Se 0.500 0.500 0.500 [1 per cell]

Results
Volume in Å³ per cell: 61.6
Formation energy without anion corrections in eV/atom: -0.596
Crystal system: tetragonal
Offset from the most stable computed form in meV/atom: 0
Total magnetic moment in μB/f.u.: 0.0

=====

Below is a relaxed structure of MgAuCl2, with properties calculated at the PBEsol level.

Cell lengths 3.227, 3.227, 7.694 Å; angles 90.00, 90.00, 90.00 degrees
Space group P4mm (No. 99)
Asymmetric unit:
1 Mg 0.000 0.000 0.000 [1 per cell]
2 Au 0.500 0.500 0.233 [1 per cell]
3 Cl 0.000 0.000 0.437 [1 per cell]
4 Cl 0.500 0.500 0.824 [1 per cell]

Results
Volume in Å³ per cell: 80.1
Formation energy without anion corrections in eV/atom: -0.635
Crystal system: tetragonal
Offset from the most stable computed form in meV/atom: 37
Total magnetic moment in μB/f.u.: 0.0

=====

Below is a relaxed structure of Sr3WF, with properties calculated at the PBEsol level.

Cell lengths 5.692, 5.692, 5.692 Å; angles 90.00, 90.00, 90.00 degrees
Space group Pm-3m (No. 221)
Asymmetric unit:
1 Sr 0.000 0.000 0.500 [3 per cell]
2 W 0.000 0.000 0.000 [1 per cell]
3 F 0.500 0.500 0.500 [1 per cell]

Results
Volume in Å³ per cell: 184.4
Formation energy without anion corrections in eV/atom: 0.556
Crystal system: cubic
Total magnetic moment in μB/f.u.: 0.0

=====

Below is a relaxed structure of InTe2H, with properties calculated at the PBEsol level.

Cell lengths 7.045, 7.045, 7.045 Å; angles 90.00, 90.00, 90.00 degrees
Space group Fm-3m (No. 225)
Asymmetric unit:
1 In 0.000 0.000 0.000 [4 per cell]
2 Te 0.250 0.250 0.250 [8 per cell]
3 H 0.000 0.000 0.500 [4 per cell]

Results
Volume in Å³ per cell: 349.7
Crystal system: cubic
Total magnetic moment in μB/f.u.: 0.0
E in eV/cell: -45.8

=====

Below is a relaxed structure of ZrCl, with properties calculated at the PBEsol level.

Cell lengths 3.3862, 3.3862, 27.0154 Å; angles 90.00, 90.00, 120.00 degrees
Space group R-3m (No. 166, hexagonal axes)
Asymmetric unit:
1 Zr 0.0000 0.0000 0.1227 [6 per cell]
2 Cl 0.0000 0.0000 0.3923 [6 per cell]

Results
Volume in Å³ per cell: 268.3
Formation energy without anion corrections in eV/atom: -1.322
Crystal system: trigonal
Total magnetic moment in μB/f.u.: 0.0

=====

Below is a relaxed structure of Ba2TlOs, with properties calculated at the PBEsol level.

Cell lengths 7.780, 7.780, 7.780 Å; angles 90.00, 90.00, 90.00 degrees
Space group Fm-3m (No. 225)
Asymmetric unit:
1 Ba 0.250 0.250 0.250 [8 per cell]
2 Tl 0.000 0.000 0.000 [4 per cell]
3 Os 0.000 0.000 0.500 [4 per cell]

Results
Volume in Å³ per cell: 470.9
Crystal system: cubic
Offset from the most stable computed form in meV/atom: 0
Energy of formation in kJ/mol of atoms: 53.5
Total magnetic moment in μB/f.u.: 0.0

=====

Below is a relaxed structure of AlInN2O, with properties calculated at the PBEsol level.

Cell lengths 4.115, 4.115, 4.030 Å; angles 90.00, 90.00, 90.00 degrees
Space group P4/mmm (No. 123)
Asymmetric unit:
1 Al 0.000 0.000 0.000 [1 per cell]
2 In 0.500 0.500 0.500 [1 per cell]
3 N 0.000 0.500 0.500 [2 per cell]
4 O 0.500 0.500 0.000 [1 per cell]

Results
Volume in Å³ per cell: 68.2
Formation energy without anion corrections in eV/atom: 1.109
Crystal system: tetragonal
Total magnetic moment in μB/f.u.: 0.8

=====

Below is a relaxed structure of Sc2InPb, with properties calculated at the PBEsol level.

Cell lengths 6.505, 8.531, 3.235 Å; angles 90.00, 90.00, 90.00 degrees
Space group Cmmm (No. 65)
Asymmetric unit:
1 Sc 0.250 0.250 0.000 [4 per cell]
2 In 0.000 0.000 0.500 [2 per cell]
3 Pb 0.000 0.500 0.500 [2 per cell]

Results
Volume in Å³ per cell: 179.5
Crystal system: orthorhombic
Energy of formation in kJ/mol of atoms: -40.8
Total magnetic moment in μB/f.u.: 0.9

=====

Below is a relaxed structure of Ba2CaScPd, with properties calculated at the PBEsol level.

Cell lengths 6.423, 6.423, 4.748 Å; angles 90.00, 90.00, 90.00 degrees
Space group P4/mmm (No. 123)
Asymmetric unit:
1 Ba 0.000 0.500 0.000 [2 per cell]
2 Ca 0.000 0.000 0.500 [1 per cell]
3 Sc 0.500 0.500 0.000 [1 per cell]
4 Pd 0.500 0.500 0.500 [1 per cell]

Results
Volume in Å³ per cell: 195.9
Crystal system: tetragonal
Energy of formation in kJ/mol of atoms: 28.7
Total magnetic moment in μB/f.u.: 0.0

=====

Below is a relaxed structure of ReAgAu2, with properties calculated at the PBEsol level.

Cell lengths 2.745, 2.745, 8.496 Å; angles 90.00, 90.00, 90.00 degrees
Space group P4/mmm (No. 123)
Asymmetric unit:
1 Re 0.000 0.000 0.000 [1 per cell]
2 Ag 0.000 0.000 0.500 [1 per cell]
3 Au 0.500 0.500 0.242 [2 per cell]

Results
Volume in Å³ per cell: 64.0
Crystal system: tetragonal
Energy of formation in kJ/mol of atoms: 27.9
Total magnetic moment in μB/f.u.: 0.0

=====

Below is a relaxed structure of ReBAs3, with properties calculated at the PBEsol level.

Cell lengths 4.765, 4.765, 4.765 Å; angles 90.00, 90.00, 90.00 degrees
Space group Pm-3m (No. 221)
Asymmetric unit:
1 Re 0.000 0.000 0.000 [1 per cell]
2 B 0.500 0.500 0.500 [1 per cell]
3 As 0.000 0.000 0.500 [3 per cell]

Results
Volume in Å³ per cell: 108.2
Crystal system: cubic
Energy of formation in kJ/mol of atoms: 142.6
Total magnetic moment in μB/f.u.: 0.0

=====

Below is a relaxed structure of AlInRe2, with properties calculated at the PBEsol level.

Cell lengths 4.089, 4.089, 7.458 Å; angles 90.00, 90.00, 90.00 degrees
Space group I-4m2 (No. 119)
Asymmetric unit:
1 Al 0.000 0.000 0.000 [2 per cell]
2 In 0.000 0.500 0.250 [2 per cell]
3 Re 0.000 0.000 0.500 [2 per cell]
4 Re 0.000 0.500 0.750 [2 per cell]

Results
Volume in Å³ per cell: 124.7
Crystal system: tetragonal
Offset from the most stable computed form in meV/atom: 0
Energy of formation in kJ/mol of atoms: 33.4
Total magnetic moment in μB/f.u.: 0.0

=====

Below is a relaxed structure of KLaNi2, with properties calculated at the PBEsol level.

Cell lengths 4.889, 5.075, 6.800 Å; angles 90.00, 90.00, 90.00 degrees
Space group Immm (No. 71)
Asymmetric unit:
1 K 0.000 0.000 0.000 [2 per cell]
2 La 0.000 0.000 0.500 [2 per cell]
3 Ni 0.000 0.500 0.232 [4 per cell]

Results
Volume in Å³ per cell: 168.7
Crystal system: orthorhombic
Offset from the most stable computed form in meV/atom: 248
Energy of formation in kJ/mol of atoms: 44.1
Total magnetic moment in μB/f.u.: 0.0

=====

Below is a relaxed structure of Li2LaSc, with properties calculated at the PBEsol level.

Cell lengths 3.272, 4.778, 6.527 Å; angles 90.00, 103.34, 90.00 degrees
Space group Pm (No. 6)
Asymmetric unit:
1 Li 0.000 0.000 0.000 [1 per cell]
2 Li 0.256 0.500 0.239 [1 per cell]
3 La 0.406 0.500 0.739 [1 per cell]
4 Sc 0.796 0.000 0.463 [1 per cell]

Results
Volume in Å³ per cell: 99.3
Crystal system: monoclinic
Offset from the most stable computed form in meV/atom: 93
Energy of formation in kJ/mol of atoms: 19.3
Total magnetic moment in μB/f.u.: 0.0

=====

Below is a relaxed structure of Ga2PbS4, with properties calculated at the PBEsol level.

Cell lengths 12.098, 20.262, 20.589 Å; angles 90.00, 90.00, 90.00 degrees
Space group Fddd (No. 70, origin choice 2)
Asymmetric unit:
1 Ga 0.085 0.304 0.250 [32 per cell]
2 Ga 0.124 0.262 0.750 [32 per cell]
3 Pb 0.125 0.125 0.125 [8 per cell]
4 Pb 0.125 0.125 0.373 [16 per cell]
5 Pb 0.125 0.125 0.625 [8 per cell]
6 S 0.001 0.000 0.584 [32 per cell]
7 S 0.001 0.000 0.916 [32 per cell]
8 S 0.001 0.344 0.499 [32 per cell]
9 S 0.016 0.081 0.751 [32 per cell]

Results
Volume in Å³ per cell: 5047.1
Formation energy without anion corrections in eV/atom: -0.685
Crystal system: orthorhombic
Total magnetic moment in μB/f.u.: 0.0

=====

Below is a relaxed structure of CuCBr3, with properties calculated at the PBEsol level.

Cell lengths 4.574, 4.574, 4.574 Å; angles 90.00, 90.00, 90.00 degrees
Space group Pm-3m (No. 221)
Asymmetric unit:
1 Cu 0.000 0.000 0.000 [1 per cell]
2 C 0.500 0.500 0.500 [1 per cell]
3 Br 0.000 0.500 0.500 [3 per cell]

Results
Volume in Å³ per cell: 95.7
Formation energy without anion corrections in eV/atom: 1.158
Crystal system: cubic
Total magnetic moment in μB/f.u.: 0.0

=====

Below is a relaxed structure of TiGaCu2, with properties calculated at the PBEsol level.

Cell lengths 5.933, 5.933, 5.933 Å; angles 90.00, 90.00, 90.00 degrees
Space group Fm-3m (No. 225)
Asymmetric unit:
1 Ti 0.000 0.000 0.000 [4 per cell]
2 Ga 0.000 0.000 0.500 [4 per cell]
3 Cu 0.250 0.250 0.250 [8 per cell]

Results
Volume in Å³ per cell: 208.8
Crystal system: cubic
Energy of formation in kJ/mol of atoms: -26.1
Total magnetic moment in μB/f.u.: 0.0

=====

Below is a relaxed structure of Sr2PtN2, with properties calculated at the PBEsol level.

Cell lengths 4.943, 4.943, 7.756 Å; angles 90.00, 90.00, 90.00 degrees
Space group I4/mmm (No. 139)
Asymmetric unit:
1 Sr 0.000 0.500 0.250 [4 per cell]
2 Pt 0.000 0.000 0.000 [2 per cell]
3 N 0.000 0.000 0.419 [4 per cell]

Results
Volume in Å³ per cell: 189.5
Formation energy without anion corrections in eV/atom: -0.287
Crystal system: tetragonal
Total magnetic moment in μB/f.u.: 1.8

=====

Below is a relaxed structure of Li2TlAu2, with properties calculated at the PBEsol level.

Cell lengths 7.631, 7.631, 2.962 Å; angles 90.00, 90.00, 90.00 degrees
Space group P4/mbm (No. 127)
Asymmetric unit:
1 Li 0.161 0.339 0.000 [4 per cell]
2 Tl 0.000 0.000 0.500 [2 per cell]
3 Au 0.133 0.633 0.500 [4 per cell]

Results
Volume in Å³ per cell: 172.5
Crystal system: tetragonal
Energy of formation in kJ/mol of atoms: -36.1
Total magnetic moment in μB/f.u.: 0.0

=====

Below is a relaxed structure of BaFeRu, with properties calculated at the PBEsol level.

Cell lengths 6.484, 6.484, 6.484 Å; angles 90.00, 90.00, 90.00 degrees
Space group F-43m (No. 216)
Asymmetric unit:
1 Ba 0.000 0.000 0.000 [4 per cell]
2 Fe 0.000 0.000 0.500 [4 per cell]
3 Ru 0.250 0.250 0.250 [4 per cell]

Results
Volume in Å³ per cell: 272.6
Crystal system: cubic
Offset from the most stable computed form in meV/atom: 527
Energy of formation in kJ/mol of atoms: 113.0
Total magnetic moment in μB/f.u.: 3.7

=====

Below is a relaxed structure of Ba2Pd2Br, with properties calculated at the PBEsol level.

Cell lengths 3.992, 3.992, 17.860 Å; angles 90.00, 90.00, 90.00 degrees
Space group I4/mmm (No. 139)
Asymmetric unit:
1 Ba 0.000 0.000 0.121 [4 per cell]
2 Pd 0.000 0.500 0.250 [4 per cell]
3 Br 0.000 0.000 0.500 [2 per cell]

Results
Volume in Å³ per cell: 284.7
Formation energy without anion corrections in eV/atom: -0.828
Crystal system: tetragonal
Total magnetic moment in μB/f.u.: 0.0